Compound: ZrAg3Cl
Source: Alexandria via LeMat-Bulk
Functional: PBE
Structure: optimized geometry

E_form (uncorrected) = 0.91 eV per atom
symmetry = Pm-3m, No. 221
excess energy over the best structure of this formula in the dataset = 0.000 eV per atom
DOS(E_F) = 6.26 states/eV/f.u.

Cell: 4.947 4.947 4.947 Å, 90.00 90.00 90.00°
Fractional positions:
Ag 0.000 0.000 0.500
Ag 0.000 0.500 0.000
Ag 0.500 0.000 0.000
Zr 0.500 0.500 0.500
Cl 0.000 0.000 0.000

***

Compound: ZrAgCl4
Source: Alexandria via LeMat-Bulk
Functional: PBE
Structure: optimized geometry

E_form (uncorrected) = 0.40 eV per atom
symmetry = F-43m, No. 216
excess energy over the best structure of this formula in the dataset = 1.504 eV per atom
DOS(E_F) = 6.83 states/eV/f.u.

Cell: 5.684 5.684 5.684 Å, 60.00 60.00 60.00°
Fractional positions:
Cl 0.375 0.875 0.375
Cl 0.375 0.375 0.875
Cl 0.375 0.375 0.375
Cl 0.875 0.375 0.375
Ag 0.000 0.000 0.000
Zr 0.750 0.750 0.750

***

Question: Which value of DOS(E_F) does entry 2 give?
Answer: 6.83 states/eV/f.u.

***

What did the first record say?
Compound: ZrAg3Cl
Source: Alexandria via LeMat-Bulk
Functional: PBE
Structure: optimized geometry

E_form (uncorrected) = 0.91 eV per atom
symmetry = Pm-3m, No. 221
excess energy over the best structure of this formula in the dataset = 0.000 eV per atom
DOS(E_F) = 6.26 states/eV/f.u.

Cell: 4.947 4.947 4.947 Å, 90.00 90.00 90.00°
Fractional positions:
Ag 0.000 0.000 0.500
Ag 0.000 0.500 0.000
Ag 0.500 0.000 0.000
Zr 0.500 0.500 0.500
Cl 0.000 0.000 0.000

***

Question: Which value of DOS(E_F) does entry 2 give?
Answer: 6.83 states/eV/f.u.

***

Question: Which of these has the highest E_form (uncorrected)?
Answer: ZrAg3Cl